(1)
Material: MoOsN2F
Method: DFT, SCAN
State: PBEsol geometry

Lattice parameters (Å, degrees): 3.856 3.856 4.088 90.00 90.00 90.00
Site moments in Bohr magnetons follow the coordinates.
Positions (direct):
Mo  0.500  0.500  0.500  3.75
N  0.000  0.500  0.000  -0.16
N  0.500  0.000  0.000  -0.16
Os  0.000  0.000  0.000  0.26
F  0.000  0.000  0.500  0.07

Results
SG ... No. 123
Energy ... -125.29 eV for the cell shown

=====

(2)
Material: Ta2ReBr
Method: DFT, SCAN
State: PBEsol geometry

Lattice parameters (Å, degrees): 3.797 3.797 5.393 110.61 110.61 90.00
Positions (direct):
Re  0.250  0.750  0.500
Br  0.500  0.500  0.000
Ta  0.000  0.000  0.000
Ta  0.750  0.250  0.500

Results
SG ... No. 119
Energy ... -219.98 eV for the cell shown
ΔE to the lowest computed polymorph ... 0.377 eV per atom

=====

(3)
Material: ZnNi3
Method: DFT, SCAN
State: PBEsol geometry

Lattice parameters (Å, degrees): 3.518 3.518 3.518 90.00 90.00 90.00
Site moments in Bohr magnetons follow the coordinates.
Positions (direct):
Ni  0.000  0.000  0.500  0.56
Ni  0.000  0.500  0.000  0.56
Ni  0.500  0.000  0.000  0.56
Zn  0.500  0.500  0.500  -0.03

Results
SG ... No. 221
Energy ... -62.40 eV for the cell shown
DFT formation energy ... -91 meV per atom

=====

(4)
Material: Zr3NiCl
Method: DFT, SCAN
State: PBEsol geometry

Lattice parameters (Å, degrees): 4.657 4.657 4.657 90.00 90.00 90.00
Positions (direct):
Ni  0.500  0.500  0.500
Zr  0.000  0.500  0.000
Zr  0.000  0.000  0.500
Zr  0.500  0.000  0.000
Cl  0.000  0.000  0.000

Results
SG ... No. 221
Energy ... -115.30 eV for the cell shown

=====

(5)
Material: MgTcW3
Method: DFT, SCAN
State: PBEsol geometry

Lattice parameters (Å, degrees): 4.431 4.431 4.431 90.00 90.00 90.00
Positions (direct):
Mg  0.000  0.000  0.000
Tc  0.500  0.500  0.500
W  0.000  0.500  0.000
W  0.000  0.000  0.500
W  0.500  0.000  0.000

Results
SG ... No. 221
Energy ... -235.38 eV for the cell shown
DFT formation energy ... 2743 meV per atom

=====

(6)
Material: Sr2RhCl
Method: DFT, SCAN
State: PBEsol geometry

Lattice parameters (Å, degrees): 3.550 3.550 7.765 90.00 90.01 90.00
Positions (direct):
Sr  0.000  0.000  0.726
Sr  0.000  0.000  0.274
Rh  0.500  0.500  0.500
Cl  0.500  0.500  0.000

Results
SG ... No. 123
Energy ... -90.71 eV for the cell shown
ΔE to the lowest computed polymorph ... 0.002 eV per atom